Record 1
A geometry-optimized LaTaMoOs structure, computed with PBE-GGA.

Values from the calculation:
As for the energy above the most stable polymorph in this dataset: 0.062 eV/atom. For the calculated total energy, the calculation gives -0.3445 hartree per atom. For the formation energy from the elements, the calculation gives 1.3 eV per formula unit.

```
LaTaMoOs
1.0
3.029 0.000 0.000
-0.723 5.237 0.000
-1.100 -2.438 4.991
La Ta Mo Os
1 1 1 1
Direct
0.000 0.000 0.000 La
0.066 0.621 0.414 Ta
0.653 0.183 0.557 Mo
0.374 0.509 0.981 Os
```

=====

Record 2
A geometry-optimized Nb2Ag2PdSe6 structure, computed with PBE-GGA.

Values from the calculation:
For the calculated total energy, the calculation gives -0.1879 hartree per atom. The value obtained for the formation energy from raw total energies is -0.390 eV/atom.

```
Nb2Ag2PdSe6
1.0
3.051 -5.694 0.000
3.051 5.694 0.000
-1.951 0.000 7.148
Nb Ag Pd Se
2 2 1 6
Direct
0.130 0.870 0.000 Nb
0.870 0.130 0.000 Nb
0.310 0.690 0.500 Ag
0.690 0.310 0.500 Ag
0.500 0.500 0.000 Pd
0.087 0.452 0.794 Se
0.266 0.266 0.248 Se
0.452 0.087 0.794 Se
0.548 0.913 0.206 Se
0.734 0.734 0.752 Se
0.913 0.548 0.206 Se
```

=====

Record 3
A geometry-optimized ThPH2 structure, computed with PBE-GGA.

Values from the calculation:
For the calculated total energy, the calculation gives -0.2008 hartree per atom.

```
ThPH2
1.0
2.014 1.163 3.780
-2.014 1.163 3.780
0.000 -2.326 3.780
Th P H
1 1 2
Direct
0.000 0.000 0.000 Th
0.500 0.500 0.500 P
0.304 0.304 0.304 H
0.696 0.696 0.696 H
```

=====

Record 4
A geometry-optimized Ba2SbIr2 structure, computed with PBE-GGA.

Values from the calculation:
For the calculated total energy, the calculation gives -0.1955 hartree per atom. The value obtained for the formation energy from raw total energies is -0.181 eV/atom.

```
Ba2SbIr2
1.0
7.328 0.000 0.000
0.000 7.328 0.000
0.000 0.000 5.053
Ba Sb Ir
4 2 4
Direct
0.182 0.318 0.000 Ba
0.318 0.818 0.000 Ba
0.682 0.182 0.000 Ba
0.818 0.682 0.000 Ba
0.000 0.000 0.500 Sb
0.500 0.500 0.500 Sb
0.120 0.620 0.500 Ir
0.380 0.120 0.500 Ir
0.620 0.880 0.500 Ir
0.880 0.380 0.500 Ir
```

=====

Record 5
A geometry-optimized Sb2Te structure, computed with PBE-GGA.

Values from the calculation:
As for the energy above the most stable polymorph in this dataset: 0.234 eV/atom. For the calculated total energy, the calculation gives -0.1333 hartree per atom. The value obtained for the formation energy from raw total energies is 0.168 eV/atom.

```
Sb2Te
1.0
5.122 0.000 0.000
-2.561 4.436 0.000
0.000 0.000 8.069
Sb Te
4 2
Direct
0.333 0.667 0.062 Sb
0.333 0.667 0.438 Sb
0.667 0.333 0.562 Sb
0.667 0.333 0.938 Sb
0.000 0.000 0.250 Te
0.000 0.000 0.750 Te
```

=====

Record 6
A geometry-optimized LaTaNi structure, computed with PBE-GGA.

Values from the calculation:
As for the energy above the most stable polymorph in this dataset: 0.000 eV/atom. For the calculated total energy, the calculation gives -0.2736 hartree per atom. For the formation energy from the elements, the calculation gives 0.2 eV per formula unit.

```
LaTaNi
1.0
-1.617 1.617 5.966
1.617 -1.617 5.966
1.617 1.617 -5.966
La Ta Ni
1 1 1
Direct
0.000 0.000 0.000 La
0.294 0.294 0.000 Ta
0.698 0.698 0.000 Ni
```

=====

Record 7
A geometry-optimized Ta2WAu structure, computed with PBE-GGA.

Values from the calculation:
As for the energy above the most stable polymorph in this dataset: 0.014 eV/atom. For the calculated total energy, the calculation gives -0.3681 hartree per atom. For the formation energy from the elements, the calculation gives -0.1 eV per formula unit.

```
Ta2WAu
1.0
3.323 0.000 0.000
0.000 3.323 0.000
0.000 0.000 6.368
Ta W Au
2 1 1
Direct
0.000 0.000 0.234 Ta
0.000 0.000 0.766 Ta
0.500 0.500 0.000 W
0.500 0.500 0.500 Au
```

=====

Record 8
A geometry-optimized RbCu2HCl6 structure, computed with PBE-GGA.

Values from the calculation:
For the calculated total energy, the calculation gives -0.1141 hartree per atom.

```
RbCu2HCl6
1.0
6.767 -6.335 0.000
6.767 6.335 0.000
-2.602 0.000 6.498
Rb Cu H Cl
2 4 2 12
Direct
0.158 0.842 0.750 Rb
0.842 0.158 0.250 Rb
0.222 0.334 0.839 Cu
0.334 0.222 0.339 Cu
0.666 0.778 0.661 Cu
0.778 0.666 0.161 Cu
0.371 0.629 0.250 H
0.629 0.371 0.750 H
0.022 0.188 0.749 Cl
0.188 0.022 0.249 Cl
0.191 0.377 0.527 Cl
0.305 0.578 0.012 Cl
0.377 0.191 0.027 Cl
0.422 0.695 0.488 Cl
0.578 0.305 0.512 Cl
0.623 0.809 0.973 Cl
0.695 0.422 0.988 Cl
0.809 0.623 0.473 Cl
0.812 0.978 0.751 Cl
0.978 0.812 0.251 Cl
```

=====

Record 9
A geometry-optimized GeSeI2 structure, computed with PBE-GGA.

Values from the calculation:
As for the energy above the most stable polymorph in this dataset: 0.108 eV/atom. For the calculated total energy, the calculation gives -0.0851 hartree per atom. The value obtained for the formation energy from raw total energies is 0.485 eV/atom.

```
GeSeI2
1.0
0.000 3.799 3.799
3.799 0.000 3.799
3.799 3.799 0.000
Ge Se I
1 1 2
Direct
0.000 0.000 0.000 Ge
0.500 0.500 0.500 Se
0.250 0.250 0.250 I
0.750 0.750 0.750 I
```

=====

Record 10
A geometry-optimized MnAg2Br structure, computed with PBE-GGA.

Values from the calculation:
As for the energy above the most stable polymorph in this dataset: 0.047 eV/atom. For the calculated total energy, the calculation gives -0.1477 hartree per atom. The value obtained for the formation energy from raw total energies is 0.117 eV/atom.

```
MnAg2Br
1.0
1.683 0.972 8.646
-1.683 0.972 8.646
0.000 -1.944 8.646
Mn Ag Br
1 2 1
Direct
0.000 0.000 0.000 Mn
0.258 0.258 0.258 Ag
0.511 0.511 0.511 Ag
0.734 0.734 0.734 Br
```

=====

Record 11
A geometry-optimized ZrInNi2 structure, computed with PBE-GGA.

Values from the calculation:
For the calculated total energy, the calculation gives -0.2123 hartree per atom. For the formation energy from the elements, the calculation gives -0.3 eV per formula unit.

```
ZrInNi2
1.0
0.000 3.193 3.193
3.193 0.000 3.193
3.193 3.193 0.000
Zr In Ni
1 1 2
Direct
0.000 0.000 0.000 Zr
0.750 0.750 0.750 In
0.250 0.250 0.250 Ni
0.500 0.500 0.500 Ni
```

=====

Record 12
A geometry-optimized LaPm9Er2 structure, computed with PBE-GGA.

Values from the calculation:
For the calculated total energy, the calculation gives -0.1733 hartree per atom. For the formation energy from the elements, the calculation gives 0.2 eV per formula unit.

```
LaPm9Er2
1.0
5.138 0.000 0.000
0.000 5.138 0.000
0.000 0.000 15.444
La Pm Er
1 9 2
Direct
0.000 0.000 0.000 La
0.000 0.500 0.170 Pm
0.000 0.500 0.500 Pm
0.000 0.500 0.830 Pm
0.500 0.000 0.170 Pm
0.500 0.000 0.500 Pm
0.500 0.000 0.830 Pm
0.500 0.500 0.000 Pm
0.500 0.500 0.336 Pm
0.500 0.500 0.664 Pm
0.000 0.000 0.335 Er
0.000 0.000 0.665 Er
```